Entry from Alexandria via LeMat-Bulk: a relaxed structure of Sm3Co (PBE-GGA).

Lattice parameters (Å, degrees): 11.5843 11.5843 6.4250 90.00 90.00 90.00
Space group P4_2/n (No. 86, origin choice 2)
Asymmetric unit:
1 Sm 0.0337 0.5935 0.1915 [8 per cell]
2 Sm 0.1109 0.6702 0.6913 [8 per cell]
3 Sm 0.1231 0.1866 0.0234 [8 per cell]
4 Co 0.0644 0.1733 0.4909 [8 per cell]

Values from the calculation:
Density   7.9 Mg/m³
E_tot   -170.608 eV per cell
Energy of formation from the pure elements   -15.7 meV per atom


Entry from Alexandria via LeMat-Bulk: a relaxed structure of SmCo6 (PBE-GGA).

Lattice parameters (Å, degrees): 7.8765 4.8554 9.8734 90.00 90.00 90.00
Space group Pnma (No. 62)
Asymmetric unit:
1 Sm 0.2378 0.2500 0.0583 [4 per cell]
2 Co 0.0679 0.7500 0.0947 [4 per cell]
3 Co 0.0691 0.0105 0.3083 [8 per cell]
4 Co 0.0911 0.2500 0.5227 [4 per cell]
5 Co 0.1424 0.7500 0.8529 [4 per cell]
6 Co 0.1832 0.2500 0.7558 [4 per cell]

Values from the calculation:
Density   8.9 Mg/m³
E_tot   -189.786 eV per cell
Energy of formation from the pure elements   -13.2 meV per atom
ΔE to the lowest computed polymorph   0.0000 eV/atom


Entry from Alexandria via LeMat-Bulk: a relaxed structure of SmCo2 (PBE-GGA).

Lattice parameters (Å, degrees): 3.2055 3.2055 10.0612 90.00 90.00 90.00
Space group I4/mmm (No. 139)
Asymmetric unit:
1 Sm 0.0000 0.0000 0.0000 [2 per cell]
2 Co 0.0000 0.0000 0.2916 [4 per cell]

Values from the calculation:
Density   8.6 Mg/m³
E_tot   -36.850 eV per cell
Energy of formation from the pure elements   168.6 meV per atom